DFT (GGA-PBE) results for a relaxed Zn2Bi2Sb crystal.

Properties
N(E_F)	6.01	states/eV/cell
energy above the lowest structure with this stoichiometry	3.3	meV/atom
formation energy from raw total energies	0.89	eV per formula unit

Cell: 3.9509 3.9509 16.6004 Å, 90.00 90.00 90.00°
Space group I4/mmm (No. 139)
Asymmetric unit:
Zn1 0.0000 0.5000 0.2500
Bi1 0.0000 0.0000 0.1127
Sb1 0.0000 0.0000 0.5000

***

DFT (GGA-PBE) results for a relaxed Na2CaTl9 crystal.

Properties
N(E_F)	6.17	states/eV/cell
DFT formation energy	-0.120	eV per atom

Cell: 4.8752 4.8752 14.6516 Å, 90.00 90.00 90.00°
Space group P4/mmm (No. 123)
Asymmetric unit:
Na1 0.0000 0.0000 0.1687
Ca1 0.0000 0.0000 0.5000
Tl1 0.0000 0.5000 0.0000
Tl2 0.0000 0.5000 0.3323
Tl3 0.5000 0.5000 0.1687
Tl4 0.5000 0.5000 0.5000

***

DFT (GGA-PBE) results for a relaxed Tb2HoTh crystal.

Properties
N(E_F)	4.75	states/eV/cell
energy above the lowest structure with this stoichiometry	22.1	meV/atom
DFT formation energy	0.030	eV per atom

Cell: 3.5608 3.5608 10.0719 Å, 90.00 90.00 90.00°
Space group P4/mmm (No. 123)
Asymmetric unit:
Tb1 0.0000 0.0000 0.2451
Ho1 0.5000 0.5000 0.5000
Th1 0.5000 0.5000 0.0000

***

DFT (GGA-PBE) results for a relaxed La3Sb2Pd7 crystal.

Properties
N(E_F)	15.92	states/eV/cell
formation energy from raw total energies	-9.11	eV per formula unit

Cell: 4.2984 4.2984 28.4733 Å, 90.00 90.00 90.00°
Space group I4/mmm (No. 139)
Asymmetric unit:
La1 0.0000 0.0000 0.0000
La2 0.0000 0.0000 0.1742
Sb1 0.0000 0.0000 0.3718
Pd1 0.0000 0.0000 0.2752
Pd2 0.0000 0.0000 0.5000
Pd3 0.0000 0.5000 0.0737

***

DFT (GGA-PBE) results for a relaxed TlAsSe2I crystal.

Properties
N(E_F)	4.31	states/eV/cell
energy above the lowest structure with this stoichiometry	0.0	meV/atom
formation energy from raw total energies	3.15	eV per formula unit

Cell: 5.5089 5.5089 5.5313 Å, 90.00 90.00 90.00°
Space group P4/mmm (No. 123)
Asymmetric unit:
Tl1 0.0000 0.0000 0.0000
As1 0.5000 0.5000 0.0000
Se1 0.0000 0.5000 0.5000
I1 0.5000 0.5000 0.5000

***

DFT (GGA-PBE) results for a relaxed K2LiCaPt crystal.

Properties
N(E_F)	3.85	states/eV/cell
DFT formation energy	0.004	eV per atom

Cell: 6.3128 6.3128 5.5193 Å, 90.00 90.00 90.00°
Space group P4/mmm (No. 123)
Asymmetric unit:
K1 0.0000 0.5000 0.0000
Li1 0.0000 0.0000 0.5000
Ca1 0.5000 0.5000 0.5000
Pt1 0.5000 0.5000 0.0000

***

DFT (GGA-PBE) results for a relaxed Ce4OsSCl2 crystal.

Properties
N(E_F)	19.89	states/eV/cell
formation energy from raw total energies	-10.18	eV per formula unit

Cell: 7.1616 3.9821 7.1850 Å, 90.00 108.31 90.00°
Space group P2/m (No. 10)
Asymmetric unit:
Ce1 0.2335 0.0000 0.2228
Ce2 0.2535 0.5000 0.7698
Os1 0.0000 0.5000 0.0000
S1 0.5000 0.0000 0.0000
Cl1 0.0000 0.0000 0.5000
Cl2 0.5000 0.5000 0.5000

***

DFT (GGA-PBE) results for a relaxed Sr2Li2ErTl5 crystal.

Properties
N(E_F)	6.48	states/eV/cell
DFT formation energy	-0.318	eV per atom

Cell: 11.7489 11.7489 3.9526 Å, 90.00 90.00 90.00°
Space group P4/mbm (No. 127)
Asymmetric unit:
Sr1 0.1766 0.3234 0.0000
Li1 0.1219 0.6219 0.0000
Er1 0.0000 0.0000 0.0000
Tl1 0.0000 0.5000 0.5000
Tl2 0.0651 0.7925 0.5000